Record 1
A geometry-optimized ZnNi2S4 structure, computed with PBE.

For the polymorph energy (0 for the lowest one), the calculation gives 87 meV per atom. The spin magnetization comes out at 0.0 μB per formula unit. The volume comes out at 457.93 Å³/cell.

The structure belongs to space group C2/m (No. 12); the cell edges are 11.882, 6.833 and 6.954 Å and the angles 90.00°, 125.80° and 90.00°. The asymmetric unit holds Zn at (0.000, 0.000, 0.000), Zn at (0.000, 0.000, 0.500), Ni at (0.000, 0.500, 0.000), Ni at (0.000, 0.500, 0.500), Ni at (0.250, 0.250, 0.000), S at (0.014, 0.268, 0.763), S at (0.243, 0.500, 0.211) and S at (0.244, 0.500, 0.775).



Record 2
A geometry-optimized P2RhPb structure, computed with PBE.

The calculation puts the total energy at -5.644 eV per atom. The spin magnetization comes out at 0.0 μB per formula unit. The volume comes out at 165.20 Å³/cell.

The structure belongs to space group Cm (No. 8); the cell edges are 7.699, 3.713 and 5.897 Å and the angles 90.00°, 101.48° and 90.00°. The asymmetric unit holds P at (0.000, 0.000, 0.000), P at (0.148, 0.000, 0.725), Rh at (0.200, 0.500, 0.999) and Pb at (0.386, 0.000, 0.369).



Record 3
A geometry-optimized Pr2Zn3Cu structure, computed with PBE.

The calculation puts the total energy at -3.208 eV per atom. The spin magnetization comes out at 0.0 μB per formula unit. The volume comes out at 1040.84 Å³/cell.

The structure belongs to space group Fmmm (No. 69); the cell edges are 7.194, 9.152 and 15.809 Å and the angles 90.00°, 90.00° and 90.00°. The asymmetric unit holds Pr at (0.244, 0.000, 0.000), Pr at (0.250, 0.250, 0.250), Zn at (0.000, 0.000, 0.332), Zn at (0.000, 0.249, 0.084) and Cu at (0.000, 0.000, 0.167).



Record 4
A geometry-optimized VSiPtAu2 structure, computed with PBE.

The calculation puts the total energy at -4.520 eV per atom. The spin magnetization comes out at 0.2 μB per formula unit. The volume comes out at 115.57 Å³/cell.

The structure belongs to space group P4/mmm (No. 123); the cell edges are 5.133, 5.133 and 4.387 Å and the angles 90.00°, 90.00° and 90.00°. The asymmetric unit holds V at (0.000, 0.000, 0.000), Si at (0.500, 0.500, 0.000), Pt at (0.500, 0.500, 0.500) and Au at (0.000, 0.500, 0.500).



Record 5
A geometry-optimized NiP2S6 structure, computed with PBE.

For the polymorph energy (0 for the lowest one), the calculation gives 0 meV per atom. The spin magnetization comes out at 0.0 μB per formula unit. The volume comes out at 417.61 Å³/cell.

The structure belongs to space group C2 (No. 5); the cell edges are 5.797, 10.043 and 7.417 Å and the angles 90.00°, 104.75° and 90.00°. The asymmetric unit holds Ni at (0.000, 0.000, 0.000), P at (0.049, 0.333, 0.150), S at (0.214, 0.154, 0.216), S at (0.229, 0.851, 0.216) and S at (0.232, 0.995, 0.784).



Record 6
A geometry-optimized TcI2NCl structure, computed with PBE.

For the polymorph energy (0 for the lowest one), the calculation gives 0 meV per atom. The spin magnetization comes out at 0.0 μB per formula unit. The volume comes out at 116.95 Å³/cell.

The structure belongs to space group P4/mmm (No. 123); the cell edges are 5.588, 5.588 and 3.746 Å and the angles 90.00°, 90.00° and 90.00°. The asymmetric unit holds Tc at (0.000, 0.000, 0.000), I at (0.000, 0.500, 0.000), N at (0.000, 0.000, 0.500) and Cl at (0.500, 0.500, 0.500).